First-principles (PBE with a Hubbard U) data for an optimized crystal structure of FeSeI2O, as listed in the Alexandria database.

For the total energy, the calculation gives -3.377 eV per atom.

a = 5.7383 Å, b = 5.7383 Å, c = 3.6778 Å
α = 90.00°, β = 90.00°, γ = 90.00°
Closest atoms and distances in Å follow each position.
Space group P4/mmm (No. 123)
Asymmetric unit:
Fe  0.0000  0.0000  0.0000 (multiplicity 1)  2 O 1.84
Se  0.5000  0.5000  0.5000 (multiplicity 1)  8 I 3.41, 2 Se 3.68
I  0.0000  0.5000  0.0000 (multiplicity 2)  2 Fe 2.87
O  0.0000  0.0000  0.5000 (multiplicity 1)  2 Fe 1.84